An optimized crystal structure of AlSbRu2. Source: Alexandria, functional PBE.

abc: 5.142 5.142 5.142
angles: 136.86 136.86 62.66
Element x y z (fractional)
1 Sb 0.500 0.500 0.000
2 Al 0.750 0.250 0.500
3 Ru 0.000 0.000 0.000
4 Ru 0.250 0.750 0.500

## Properties
symmetry = No. 119
uncorrected energy = -6.630 eV per atom
M_tot = 0.0 μB/cell

=====

An optimized crystal structure of NaTlBiPt. Source: Alexandria, functional PBE.

abc: 5.043 5.043 5.043
angles: 60.00 60.00 60.00
Element x y z (fractional)
1 Na 0.250 0.250 0.250
2 Tl 0.000 0.000 0.000
3 Bi 0.500 0.500 0.500
4 Pt 0.750 0.750 0.750

## Properties
symmetry = No. 216
uncorrected energy = -3.513 eV per atom
M_tot = 0.0 μB/cell
ΔE_f = -0.1109 eV/atom

=====

An optimized crystal structure of Tm4In. Source: Alexandria, functional PBE.

abc: 5.641 5.641 5.641
angles: 90.00 90.00 90.00
Element x y z (fractional)
1 Tm 0.000 0.000 0.000
2 Tm 0.500 0.000 0.500
3 Tm 0.000 0.500 0.500
4 Tm 0.500 0.500 0.000
5 In 0.500 0.500 0.500

## Properties
symmetry = No. 221
uncorrected energy = -3.675 eV per atom
M_tot = 0.0 μB/cell
ΔE_f = 0.4502 eV/atom
ΔE to the lowest computed polymorph = 270.7 kJ/mol of formula units

=====

An optimized crystal structure of PrY2Er4Sc. Source: Alexandria, functional PBE.

abc: 9.376 9.376 11.631
angles: 128.32 128.32 88.47
Last column: magnetic moment on the atom in μB.
Element x y z (fractional)
1 Pr 0.000 0.500 0.000  0.20
2 Pr 0.000 0.500 0.500  0.20
3 Y 0.500 0.000 0.000  0.13
4 Y 0.500 0.000 0.500  0.13
5 Y 0.000 0.000 0.500  0.23
6 Y 0.500 0.500 0.000  0.23
7 Er 0.238 0.760 0.999  0.24
8 Er 0.740 0.262 0.501  0.24
9 Er 0.260 0.738 0.499  0.24
10 Er 0.762 0.240 0.001  0.24
11 Er 0.749 0.747 0.984  0.22
12 Er 0.753 0.751 0.516  0.22
13 Er 0.247 0.249 0.484  0.22
14 Er 0.251 0.253 0.016  0.22
15 Sc 0.500 0.500 0.500  0.25
16 Sc 0.000 0.000 0.000  0.25

## Properties
symmetry = No. 15
uncorrected energy = -4.848 eV per atom
M_tot = 4.9 μB/cell
ΔE_f = 0.4386 eV/atom

=====

An optimized crystal structure of TlCd2Cu. Source: Alexandria, functional PBE.

abc: 7.014 7.014 7.014
angles: 154.48 142.04 46.30
Element x y z (fractional)
1 Cd 0.005 0.005 0.000
2 Cd 0.681 0.181 0.500
3 Cu 0.504 0.504 0.000
4 Tl 0.311 0.811 0.500

## Properties
symmetry = No. 44
uncorrected energy = -1.956 eV per atom
M_tot = 0.0 μB/cell
ΔE_f = 0.1177 eV/atom
ΔE to the lowest computed polymorph = 11.9 kJ/mol of formula units

=====

An optimized crystal structure of CdBF6. Source: Alexandria, functional PBE.

abc: 5.455 5.455 5.455
angles: 60.00 60.00 60.00
Last column: magnetic moment on the atom in μB.
Element x y z (fractional)
1 Cd 0.500 0.500 0.500  0.00
2 B 0.000 0.000 0.000  -0.01
3 F 0.792 0.792 0.208  0.16
4 F 0.792 0.208 0.208  0.16
5 F 0.208 0.792 0.792  0.16
6 F 0.208 0.208 0.792  0.16
7 F 0.208 0.792 0.208  0.16
8 F 0.792 0.208 0.792  0.16

## Properties
symmetry = No. 225
uncorrected energy = -4.171 eV per atom
M_tot = 1.0 μB/cell